DFT (PBE-GGA) results for a geometry-optimized Cs4CePr3O8 structure.

Unit cell a=8.195 b=8.195 c=8.195 alpha=54.09 beta=54.09 gamma=54.09
Sites, in units of the cell vectors:
Cs (0.000, 0.000, 0.000)
Cs (0.000, 0.500, 0.500)
Cs (0.500, 0.000, 0.500)
Cs (0.500, 0.500, 0.000)
Ce (0.500, 0.500, 0.500)
Pr (0.000, 0.000, 0.500)
Pr (0.000, 0.500, 0.000)
Pr (0.500, 0.000, 0.000)
O (0.223, 0.223, 0.223)
O (0.230, 0.719, 0.719)
O (0.281, 0.281, 0.770)
O (0.281, 0.770, 0.281)
O (0.719, 0.230, 0.719)
O (0.719, 0.719, 0.230)
O (0.770, 0.281, 0.281)
O (0.777, 0.777, 0.777)

Summary:
Calculated density in g cm⁻³: 6.1
V in Å³ per cell: 335.4
Density of states at the Fermi level in states/eV/cell: 5.148
E_form (uncorrected) in meV per atom: -2492
Space-group type: No. 166
Spin magnetization in Bohr magnetons per cell: 0.71